[1]
Below is crystalline RuSe4 at its relaxed geometry, with properties calculated at the PBE level.

Uncorrected formation energy ... 535 meV/atom
Offset from the most stable computed form ... 0 meV per atom

Lattice parameters (Å, degrees): 4.8483 4.8483 4.8483 90.00 90.00 90.00
Sites, in units of the cell vectors:
Ru1 0.0000 0.0000 0.0000
Se1 0.0000 0.0000 0.5000
Se2 0.0000 0.5000 0.0000
Se3 0.5000 0.0000 0.0000
Se4 0.5000 0.5000 0.5000

***

[2]
Below is crystalline RuSe3 at its relaxed geometry, with properties calculated at the PBE level.

Uncorrected formation energy ... 12 meV/atom
Offset from the most stable computed form ... 81 meV per atom

Lattice parameters (Å, degrees): 3.8723 3.8723 7.8716 97.98 97.98 45.95
Sites, in units of the cell vectors:
Ru1 0.0000 0.0000 0.0000
Se1 0.3266 0.3266 0.1797
Se2 0.5000 0.5000 0.5000
Se3 0.6734 0.6734 0.8203

***

[3]
Below is crystalline RuSe3 at its relaxed geometry, with properties calculated at the PBE level.

Uncorrected formation energy ... 612 meV/atom
Offset from the most stable computed form ... 681 meV per atom

Lattice parameters (Å, degrees): 4.6980 4.6980 3.1592 90.00 90.00 90.00
Sites, in units of the cell vectors:
Ru1 0.0000 0.0000 0.0000
Se1 0.0000 0.5000 0.5000
Se2 0.5000 0.0000 0.5000
Se3 0.5000 0.5000 0.0000

***

[4]
Below is crystalline Ru4Se5 at its relaxed geometry, with properties calculated at the PBE level.

Uncorrected formation energy ... 502 meV/atom

Lattice parameters (Å, degrees): 6.2473 6.2473 6.2473 97.75 97.75 136.93
Sites, in units of the cell vectors:
Ru1 0.0000 0.3475 0.3475
Ru2 0.0000 0.6525 0.6525
Ru3 0.3475 0.0000 0.3475
Ru4 0.6525 0.0000 0.6525
Se1 0.0000 0.0000 0.0000
Se2 0.3095 0.3095 0.6191
Se3 0.3095 0.6905 0.0000
Se4 0.6905 0.3095 0.0000
Se5 0.6905 0.6905 0.3809

***

[5]
Below is crystalline Ru5Se at its relaxed geometry, with properties calculated at the PBE level.

Uncorrected formation energy ... 261 meV/atom
Offset from the most stable computed form ... 35 meV per atom

Lattice parameters (Å, degrees): 4.2854 7.2999 7.2999 22.31 90.00 90.00
Sites, in units of the cell vectors:
Ru1 0.0000 0.0000 0.0000
Ru2 0.0000 0.3297 0.3297
Ru3 0.0000 0.6626 0.6626
Ru4 0.5000 0.5458 0.5458
Ru5 0.5000 0.8938 0.8938
Se1 0.5000 0.2211 0.2211

***

[6]
Below is crystalline RuSe3 at its relaxed geometry, with properties calculated at the PBE level.

Uncorrected formation energy ... 351 meV/atom
Offset from the most stable computed form ... 420 meV per atom

Lattice parameters (Å, degrees): 4.7927 7.3219 5.3527 90.00 90.00 90.00
Sites, in units of the cell vectors:
Ru1 0.2500 0.2500 0.0359
Ru2 0.7500 0.7500 0.9641
Se1 0.2500 0.5164 0.7654
Se2 0.2500 0.7500 0.1053
Se3 0.2500 0.9836 0.7654
Se4 0.7500 0.0164 0.2346
Se5 0.7500 0.2500 0.8947
Se6 0.7500 0.4836 0.2346

***

[7]
Below is crystalline RuSe2 at its relaxed geometry, with properties calculated at the PBE level.

Uncorrected formation energy ... 32 meV/atom

Lattice parameters (Å, degrees): 6.8057 6.8057 6.8057 154.21 154.21 36.79
Sites, in units of the cell vectors:
Ru1 0.0000 0.0000 0.0000
Se1 0.3796 0.3796 0.0000
Se2 0.6204 0.6204 0.0000

***

[8]
Below is crystalline RuSe3 at its relaxed geometry, with properties calculated at the PBE level.

Uncorrected formation energy ... 348 meV/atom
Offset from the most stable computed form ... 417 meV per atom

Lattice parameters (Å, degrees): 2.8838 2.8838 10.8919 90.00 90.00 116.81
Sites, in units of the cell vectors:
Ru1 0.0000 0.0000 0.0000
Se1 0.0000 0.0000 0.5000
Se2 0.5000 0.5000 0.1878
Se3 0.5000 0.5000 0.8122

***

Repeat the third record exactly.
Below is crystalline RuSe3 at its relaxed geometry, with properties calculated at the PBE level.

Uncorrected formation energy ... 612 meV/atom
Offset from the most stable computed form ... 681 meV per atom

Lattice parameters (Å, degrees): 4.6980 4.6980 3.1592 90.00 90.00 90.00
Sites, in units of the cell vectors:
Ru1 0.0000 0.0000 0.0000
Se1 0.0000 0.5000 0.5000
Se2 0.5000 0.0000 0.5000
Se3 0.5000 0.5000 0.0000